[1]
## TeC2 (PBE)

Data for a relaxed TeC2 crystal.

POSCAR file:
```
TeC2
1.0
-3.323 -1.677 4.495
-2.170 -0.066 -5.417
1.891 -5.594 -0.689
C Te
8 4
direct
0.000 0.000 0.000 C
0.000 0.000 0.500 C
0.909 0.819 0.250 C
0.091 0.181 0.750 C
0.181 0.091 0.250 C
0.909 0.091 0.250 C
0.091 0.909 0.750 C
0.819 0.909 0.750 C
0.333 0.667 0.013 Te
0.667 0.333 0.513 Te
0.667 0.333 0.987 Te
0.333 0.667 0.487 Te
```

Computed properties:
energy: -4.8273 eV/atom
Fermi-level density of states: 7.6 states/eV per cell
formation energy (no corrections): 2.37 eV per atom
energy above the lowest structure with this stoichiometry: 1451 meV/atom
density: 5.74 Mg/m³

---

[2]
## Te2C (PBE)

Data for a relaxed Te2C crystal.

POSCAR file:
```
Te2C
1.0
-4.075 -2.178 0.950
0.004 -1.893 -4.321
2.967 -4.659 2.044
Te C
4 2
direct
0.000 0.000 0.000 Te
0.500 0.500 0.000 Te
0.500 0.000 0.505 Te
0.000 0.500 0.495 Te
0.500 0.000 0.879 C
0.000 0.500 0.121 C
```

Computed properties:
energy: -3.9436 eV/atom
Fermi-level density of states: 2.9 states/eV per cell
formation energy (no corrections): 1.23 eV per atom
energy above the lowest structure with this stoichiometry: 497 meV/atom
density: 6.77 Mg/m³

---

Q: The lowest density belongs to which entry?
A: TeC2